The following is a PBE calculation of an optimized crystal structure of Re2O8F, from Alexandria.

- raw formation energy (eV per atom) = -0.954
- DFT total energy (eV per atom) = -6.994
- magnetic moment (μB per formula unit) = 1.31
- space-group type = C2/m
- crystal system = monoclinic

a = 7.6295 Å, b = 7.6295 Å, c = 3.7960 Å
α = 90.05°, β = 90.05°, γ = 135.03°
Fractional coordinates of all 11 atoms:
1 Re 0.2297 0.7703 0.0000
2 Re 0.7703 0.2297 0.0000
3 O 0.0767 0.0767 0.3910
4 O 0.1068 0.4288 0.9984
5 O 0.2317 0.7683 0.5000
6 O 0.4288 0.1068 0.9984
7 O 0.5712 0.8932 0.0016
8 O 0.7683 0.2317 0.5000
9 O 0.8932 0.5712 0.0016
10 O 0.9233 0.9233 0.6090
11 F 0.5000 0.5000 0.5000